DFT (GGA-PBE) results for an optimized crystal structure of TlMoIr2.

POSCAR file:
```
TlMoIr2
1.0
-1.997 -0.727 -3.229
0.384 -2.837 0.401
-4.678 -3.090 3.589
Ir Mo Tl
2 1 1
Direct
0.000 0.972 0.027
0.000 0.528 0.473
0.500 0.250 0.250
0.500 0.750 0.750
```

Properties
DFT total energy: -30.04 eV for the cell shown
E_form: 0.2197 eV per atom
Energy above the most stable polymorph in this dataset: 12.7 kJ/mol of atoms
N(E_F): 2.58 states/eV/f.u.
Magnetic moment: 0.00 μB/atom

=====

DFT (GGA-PBE) results for an optimized crystal structure of CaAs2OsBr.

POSCAR file:
```
CaAs2OsBr
1.0
-2.435 -2.796 4.006
-2.221 -3.354 -3.690
4.144 -3.120 0.342
As Os Ca Br
2 1 1 1
Direct
0.000 0.500 0.000
0.500 0.000 0.000
0.500 0.500 0.500
0.000 0.000 0.000
0.000 0.000 0.500
```

Properties
Formation energy (no corrections): 7.3 eV/f.u.
DFT total energy: -16.92 eV for the cell shown
Energy above the most stable polymorph in this dataset: 145.0 kJ/mol of atoms
N(E_F): 6.21 states/eV/f.u.
Magnetic moment: 0.57 μB/atom

=====

DFT (GGA-PBE) results for an optimized crystal structure of CePu4Ga.

POSCAR file:
```
CePu4Ga
1.0
5.868 -0.315 -0.056
-0.126 5.690 2.125
-0.148 -0.177 9.152
Ce Pu Ga
2 8 2
Direct
0.250 0.775 0.950
0.750 0.225 0.050
0.878 0.317 0.396
0.857 0.109 0.766
0.378 0.212 0.604
0.357 0.375 0.234
0.122 0.683 0.604
0.622 0.788 0.396
0.143 0.891 0.234
0.643 0.625 0.766
0.250 0.291 0.919
0.750 0.709 0.081
```

Properties
DFT total energy: -131.92 eV for the cell shown
E_form: 0.0544 eV per atom
N(E_F): 26.34 states/eV/f.u.
Magnetic moment: 3.97 μB/atom

=====

Which value of DFT total energy does entry 1 give? -30.04 eV for the cell shown